[1]
Computed, not measured: a relaxed structure of BaLi2Te at the GGA-PBE level of DFT.

a b c (Å): 5.898 5.907 7.038
angles (deg): 90.00 90.00 90.00
Space group Cmmm (No. 65)
Asymmetric unit:
Ba1 0.000 0.000 0.000 (multiplicity 2)
Li1 0.000 0.500 0.320 (multiplicity 4)
Te1 0.000 0.000 0.500 (multiplicity 2)

Calculated values
* raw total energy: -2.759 eV per atom
* crystal system: orthorhombic
* energy relative to the elements, uncorrected: -536 meV per atom
* total magnetization: 0.00 Bohr magnetons per cell

[2]
Computed, not measured: a relaxed structure of GdTaRuRh at the GGA-PBE level of DFT.

a b c (Å): 6.599 6.599 6.599
angles (deg): 90.00 90.00 90.00
Space group F-43m (No. 216)
Asymmetric unit:
Gd1 0.000 0.000 0.000 (multiplicity 4)
Ta1 0.000 0.000 0.500 (multiplicity 4)
Ru1 0.250 0.250 0.250 (multiplicity 4)
Rh1 0.250 0.250 0.750 (multiplicity 4)

Calculated values
* raw total energy: -10.970 eV per atom
* DFT formation energy: -0.329 eV per atom
* crystal system: cubic
* total magnetization: 27.83 Bohr magnetons per cell

[3]
Computed, not measured: a relaxed structure of UBC at the GGA-PBE level of DFT.

a b c (Å): 3.578 3.578 6.127
angles (deg): 90.00 90.00 90.00
Space group I4mm (No. 107)
Asymmetric unit:
U1 0.000 0.000 0.000 (multiplicity 2)
B1 0.000 0.000 0.610 (multiplicity 2)
C1 0.000 0.000 0.370 (multiplicity 2)

Calculated values
* raw total energy: -8.949 eV per atom
* energy above the lowest structure with this stoichiometry: 564 meV/atom
* DFT formation energy: 0.114 eV per atom
* crystal system: tetragonal
* total magnetization: 0.01 Bohr magnetons per cell

[4]
Computed, not measured: a relaxed structure of Sc3CdBr at the GGA-PBE level of DFT.

a b c (Å): 4.973 4.973 4.973
angles (deg): 90.00 90.00 90.00
Space group Pm-3m (No. 221)
Asymmetric unit:
Sc1 0.000 0.000 0.500 (multiplicity 3)
Cd1 0.500 0.500 0.500 (multiplicity 1)
Br1 0.000 0.000 0.000 (multiplicity 1)

Calculated values
* raw total energy: -4.452 eV per atom
* energy above the lowest structure with this stoichiometry: 0 meV/atom
* crystal system: cubic
* energy relative to the elements, uncorrected: -136 meV per atom
* total magnetization: 0.00 Bohr magnetons per cell

Which value of raw total energy does entry 3 give? -8.949 eV per atom

The lowest raw total energy belongs to which entry? GdTaRuRh

What is the formula in the first record? BaLi2Te